MoPt5Rh4 (GGA-PBE, relaxed); energy = -6.89 eV/atom; total magnetization = 0.000 μB per cell
1.0
-3.105 -1.627 -1.466
4.058 -6.254 -1.652
-3.845 4.937 7.588
Pt Rh Mo
5 4 1
direct
0.832 0.163 0.664
0.165 0.337 0.331
0.168 0.837 0.336
0.835 0.663 0.669
0.500 0.500 0.000
0.329 0.906 0.658
0.998 0.753 0.996
0.002 0.247 0.004
0.671 0.094 0.342
0.500 0.000 0.000

=====

SnPb (GGA-PBE, relaxed); energy = -3.74 eV/atom; total magnetization = 0.000 μB per cell
1.0
8.648 0.000 0.000
0.000 9.476 0.000
0.000 0.000 12.230
Pb Sn
16 16
direct
0.250 0.937 0.250
0.500 0.687 0.000
0.500 0.813 0.500
0.000 0.687 0.500
0.500 0.313 0.000
0.250 0.437 0.750
0.000 0.187 0.000
0.250 0.063 0.750
0.250 0.563 0.250
0.750 0.937 0.750
0.500 0.187 0.500
0.750 0.563 0.750
0.750 0.063 0.250
0.000 0.813 0.000
0.750 0.437 0.250
0.000 0.313 0.500
0.321 0.000 0.000
0.429 0.750 0.750
0.571 0.750 0.250
0.429 0.250 0.250
0.179 0.000 0.500
0.821 0.500 0.000
0.321 0.500 0.500
0.821 0.000 0.500
0.929 0.750 0.250
0.071 0.250 0.250
0.071 0.750 0.750
0.571 0.250 0.750
0.679 0.500 0.500
0.679 0.000 0.000
0.179 0.500 0.000
0.929 0.250 0.750

=====

LaTbPd4 (GGA-PBE, relaxed); energy = -5.91 eV/atom; relative energy among the computed polymorphs = 0.0 kJ/mol of atoms; total magnetization = 0.000 μB per cell
1.0
-2.480 -1.511 3.121
2.896 -5.045 -0.142
7.659 4.249 5.230
La Tb Pd
2 2 8
direct
0.720 0.250 0.440
0.280 0.750 0.560
0.425 0.250 0.851
0.575 0.750 0.149
0.144 0.493 0.288
0.144 0.007 0.288
0.856 0.507 0.712
0.571 0.250 0.142
0.856 0.993 0.712
0.000 0.500 0.000
0.429 0.750 0.858
0.000 0.000 0.000

=====

MnSiTe2 (GGA-PBE, relaxed); energy = -4.95 eV/atom; energy relative to the elements, uncorrected = 0.27 eV per atom; total magnetization = 0.271 μB per cell
1.0
-1.707 2.356 0.900
-1.128 0.259 -2.817
-6.873 -5.824 2.217
Te Mn Si
2 1 1
direct
0.000 0.000 0.961
0.500 0.500 0.351
0.000 0.000 0.523
0.500 0.500 0.665